Sc2Ta4Sb3C3 after structural relaxation, computed with PBE.

The calculation puts the volume at 16.45 A^3/atom. The calculation puts the size of the total moment at 0.00 μB per atom. The final energy is -424.606 eV/cell.

It has space group C2/c (No. 15), with a = 10.1115 Å, b = 5.8639 Å, c = 13.7390 Å, α = 90.00°, β = 104.26° and γ = 90.00°. The inequivalent atoms are Sc at (0.0484, 0.0793, 0.4073), Ta at (0.1102, 0.4090, 0.5796), Ta at (0.2270, 0.4207, 0.9203), Sb at (0.0000, 0.4283, 0.2500), Sb at (0.1733, 0.0885, 0.7516), C at (0.0853, 0.2558, 0.0000) and C at (0.2500, 0.2500, 0.5000).

***

YHoCo2Pb after structural relaxation, computed with PBE.

The calculation puts the volume at 20.95 A^3/atom. The calculation puts the size of the total moment at 0.30 μB per atom. The final energy is -61.357 eV/cell.

It has space group Amm2 (No. 38), with a = 3.8593 Å, b = 3.8507 Å, c = 14.0981 Å, α = 90.00°, β = 90.00° and γ = 90.00°. The inequivalent atoms are Y at (0.0000, 0.0000, 0.0000), Ho at (0.0000, 0.0000, 0.7195), Co at (0.5000, 0.0000, 0.1553), Co at (0.5000, 0.0000, 0.5682) and Pb at (0.5000, 0.0000, 0.3599).

***

ScCuPd after structural relaxation, computed with PBE.

The calculation puts the volume at 19.01 A^3/atom. The calculation puts the energy of formation at -343 meV/atom. The calculation puts the size of the total moment at 0.00 μB per atom. The value obtained for the energy above the most stable polymorph in this dataset is 0.0 meV per atom. The final energy is -65.003 eV/cell.

It has space group F-43m (No. 216), with a = 6.1100 Å, b = 6.1100 Å, c = 6.1100 Å, α = 90.00°, β = 90.00° and γ = 90.00°. The inequivalent atoms are Sc at (0.0000, 0.0000, 0.0000), Cu at (0.0000, 0.0000, 0.5000) and Pd at (0.2500, 0.2500, 0.7500).

***

RbZr3S5 after structural relaxation, computed with PBE.

The calculation puts the volume at 26.23 A^3/atom. The calculation puts the size of the total moment at 0.00 μB per atom. The final energy is -59.060 eV/cell.

It has space group P6/mmm (No. 191), with a = 6.1034 Å, b = 6.1034 Å, c = 7.3176 Å, α = 90.00°, β = 90.00° and γ = 120.00°. The inequivalent atoms are Rb at (0.0000, 0.0000, 0.0000), Zr at (0.0000, 0.5000, 0.5000), S at (0.0000, 0.0000, 0.5000) and S at (0.3333, 0.6667, 0.2452).

***

Tm6GaNi2 after structural relaxation, computed with PBE.

The calculation puts the volume at 23.49 A^3/atom. The calculation puts the size of the total moment at 0.00 μB per atom. The final energy is -178.403 eV/cell.

It has space group Immm (No. 71), with a = 9.1338 Å, b = 9.4296 Å, c = 9.8172 Å, α = 90.00°, β = 90.00° and γ = 90.00°. The inequivalent atoms are Tm at (0.0000, 0.1969, 0.2359), Tm at (0.1955, 0.5000, 0.1738), Tm at (0.2161, 0.3192, 0.5000), Ga at (0.0000, 0.0000, 0.0000), Ga at (0.0000, 0.0000, 0.5000), Ni at (0.0000, 0.3507, 0.0000) and Ni at (0.0000, 0.5000, 0.3773).

***

SrHfCd after structural relaxation, computed with PBE.

The calculation puts the volume at 30.72 A^3/atom. The calculation puts the size of the total moment at 0.00 μB per atom. The value obtained for the energy above the most stable polymorph in this dataset is 0.0 meV per atom. The final energy is -39.095 eV/cell.

It has space group F-43m (No. 216), with a = 7.1702 Å, b = 7.1702 Å, c = 7.1702 Å, α = 90.00°, β = 90.00° and γ = 90.00°. The inequivalent atoms are Sr at (0.0000, 0.0000, 0.0000), Hf at (0.2500, 0.2500, 0.7500) and Cd at (0.0000, 0.0000, 0.5000).